Record 1
# La2CoMo, optimized geometry, DFT GGA-PBE
data_La2CoMo
_space_group_name_H-M_alt 'R -3 m'
_space_group_IT_number 166
_space_group_name_Hall '-R 3 2"'
_cell_length_a 3.6108
_cell_length_b 3.6108
_cell_length_c 24.8962
_cell_angle_alpha 90.00
_cell_angle_beta 90.00
_cell_angle_gamma 120.00
loop_
_atom_site_label
_atom_site_type_symbol
_atom_site_fract_x
_atom_site_fract_y
_atom_site_fract_z
La1 La 0.0000 0.0000 0.2403
Co1 Co 0.0000 0.0000 0.5000
Mo1 Mo 0.0000 0.0000 0.0000
# Final energy, eV per atom: -6.34
# Relative energy among the computed polymorphs, meV per atom: 438
# DOS at the Fermi energy, states/eV per cell: 12.396
# ΔH_f (0 K), eV/atom: 0.604

Record 2
# LaCo4Mo, optimized geometry, DFT GGA-PBE
data_LaCo4Mo
_space_group_name_H-M_alt 'F -4 3 m'
_space_group_IT_number 216
_space_group_name_Hall 'F -4 2 3'
_cell_length_a 6.9589
_cell_length_b 6.9589
_cell_length_c 6.9589
_cell_angle_alpha 90.00
_cell_angle_beta 90.00
_cell_angle_gamma 90.00
loop_
_atom_site_label
_atom_site_type_symbol
_atom_site_fract_x
_atom_site_fract_y
_atom_site_fract_z
La1 La 0.0000 0.0000 0.0000
Co1 Co 0.1248 0.1248 0.3752
Mo1 Mo 0.2500 0.2500 0.7500
# Final energy, eV per atom: -7.09
# DOS at the Fermi energy, states/eV per cell: 40.310
# ΔH_f (0 K), eV/atom: 0.270

Record 3
# LaCo2Mo, optimized geometry, DFT GGA-PBE
data_LaCo2Mo
_space_group_name_H-M_alt 'I -4 2 d'
_space_group_IT_number 122
_space_group_name_Hall 'I -4 2bw'
_cell_length_a 4.7238
_cell_length_b 4.7238
_cell_length_c 15.3851
_cell_angle_alpha 90.00
_cell_angle_beta 90.00
_cell_angle_gamma 90.00
loop_
_atom_site_label
_atom_site_type_symbol
_atom_site_fract_x
_atom_site_fract_y
_atom_site_fract_z
La1 La 0.0000 0.0000 0.0000
Co1 Co 0.0457 0.2500 0.6250
Mo1 Mo 0.0000 0.0000 0.5000
# Final energy, eV per atom: -6.96
# Relative energy among the computed polymorphs, meV per atom: 463
# DOS at the Fermi energy, states/eV per cell: 19.899
# ΔH_f (0 K), eV/atom: 0.533

Record 4
# LaCo2Mo, optimized geometry, DFT GGA-PBE
data_LaCo2Mo
_space_group_name_H-M_alt 'P 1 2/m 1'
_space_group_IT_number 10
_space_group_name_Hall '-P 2y'
_cell_length_a 3.0795
_cell_length_b 3.0769
_cell_length_c 7.1198
_cell_angle_alpha 90.00
_cell_angle_beta 90.12
_cell_angle_gamma 90.00
loop_
_atom_site_label
_atom_site_type_symbol
_atom_site_fract_x
_atom_site_fract_y
_atom_site_fract_z
La1 La 0.0000 0.0000 0.0000
Co1 Co 0.4998 0.5000 0.3201
Mo1 Mo 0.0000 0.0000 0.5000
# Final energy, eV per atom: -7.33
# Relative energy among the computed polymorphs, meV per atom: 94
# DOS at the Fermi energy, states/eV per cell: 4.066
# ΔH_f (0 K), eV/atom: 0.164

Record 5
# LaCo3Mo, optimized geometry, DFT GGA-PBE
data_LaCo3Mo
_space_group_name_H-M_alt 'P m -3 m'
_space_group_IT_number 221
_space_group_name_Hall '-P 4 2 3'
_cell_length_a 4.5282
_cell_length_b 4.5282
_cell_length_c 4.5282
_cell_angle_alpha 90.00
_cell_angle_beta 90.00
_cell_angle_gamma 90.00
loop_
_atom_site_label
_atom_site_type_symbol
_atom_site_fract_x
_atom_site_fract_y
_atom_site_fract_z
La1 La 0.0000 0.0000 0.0000
Co1 Co 0.0000 0.5000 0.5000
Mo1 Mo 0.5000 0.5000 0.5000
# Final energy, eV per atom: -6.83
# Relative energy among the computed polymorphs, meV per atom: 0
# DOS at the Fermi energy, states/eV per cell: 6.747
# ΔH_f (0 K), eV/atom: 0.582

Record 6
# LaCo2Mo, optimized geometry, DFT GGA-PBE
data_LaCo2Mo
_space_group_name_H-M_alt 'F m -3 m'
_space_group_IT_number 225
_space_group_name_Hall '-F 4 2 3'
_cell_length_a 6.5072
_cell_length_b 6.5072
_cell_length_c 6.5072
_cell_angle_alpha 90.00
_cell_angle_beta 90.00
_cell_angle_gamma 90.00
loop_
_atom_site_label
_atom_site_type_symbol
_atom_site_fract_x
_atom_site_fract_y
_atom_site_fract_z
La1 La 0.0000 0.0000 0.0000
Co1 Co 0.2500 0.2500 0.2500
Mo1 Mo 0.0000 0.0000 0.5000
# Final energy, eV per atom: -7.00
# Relative energy among the computed polymorphs, meV per atom: 423
# DOS at the Fermi energy, states/eV per cell: 24.144
# ΔH_f (0 K), eV/atom: 0.493

Record 7
# La2CoMo, optimized geometry, DFT GGA-PBE
data_La2CoMo
_space_group_name_H-M_alt 'I m m m'
_space_group_IT_number 71
_space_group_name_Hall '-I 2 2'
_cell_length_a 3.8296
_cell_length_b 5.3684
_cell_length_c 8.6545
_cell_angle_alpha 90.00
_cell_angle_beta 90.00
_cell_angle_gamma 90.00
loop_
_atom_site_label
_atom_site_type_symbol
_atom_site_fract_x
_atom_site_fract_y
_atom_site_fract_z
La1 La 0.0000 0.0000 0.2149
Co1 Co 0.0000 0.5000 0.5000
Mo1 Mo 0.0000 0.5000 0.0000
# Final energy, eV per atom: -6.42
# Relative energy among the computed polymorphs, meV per atom: 359
# DOS at the Fermi energy, states/eV per cell: 8.170
# ΔH_f (0 K), eV/atom: 0.525

Record 8
# La2CoMo, optimized geometry, DFT GGA-PBE
data_La2CoMo
_space_group_name_H-M_alt 'I m m 2'
_space_group_IT_number 44
_space_group_name_Hall 'I 2 -2'
_cell_length_a 3.5291
_cell_length_b 4.9127
_cell_length_c 11.1420
_cell_angle_alpha 90.00
_cell_angle_beta 90.00
_cell_angle_gamma 90.00
loop_
_atom_site_label
_atom_site_type_symbol
_atom_site_fract_x
_atom_site_fract_y
_atom_site_fract_z
La1 La 0.0000 0.0000 0.0000
La2 La 0.0000 0.5000 0.2081
Co1 Co 0.0000 0.0000 0.4238
Mo1 Mo 0.0000 0.5000 0.7937
# Final energy, eV per atom: -6.71
# Relative energy among the computed polymorphs, meV per atom: 76
# DOS at the Fermi energy, states/eV per cell: 8.322
# ΔH_f (0 K), eV/atom: 0.243

Record 9
# La2CoMo, optimized geometry, DFT GGA-PBE
data_La2CoMo
_space_group_name_H-M_alt 'P 4 m m'
_space_group_IT_number 99
_space_group_name_Hall 'P 4 -2'
_cell_length_a 3.2257
_cell_length_b 3.2257
_cell_length_c 8.9740
_cell_angle_alpha 90.00
_cell_angle_beta 90.00
_cell_angle_gamma 90.00
loop_
_atom_site_label
_atom_site_type_symbol
_atom_site_fract_x
_atom_site_fract_y
_atom_site_fract_z
La1 La 0.0000 0.0000 0.0000
La2 La 0.5000 0.5000 0.3888
Co1 Co 0.5000 0.5000 0.7616
Mo1 Mo 0.0000 0.0000 0.6446
# Final energy, eV per atom: -6.69
# Relative energy among the computed polymorphs, meV per atom: 94
# DOS at the Fermi energy, states/eV per cell: 5.453
# ΔH_f (0 K), eV/atom: 0.260

Record 10
# LaCoMo4, optimized geometry, DFT GGA-PBE
data_LaCoMo4
_space_group_name_H-M_alt 'F -4 3 m'
_space_group_IT_number 216
_space_group_name_Hall 'F -4 2 3'
_cell_length_a 7.6393
_cell_length_b 7.6393
_cell_length_c 7.6393
_cell_angle_alpha 90.00
_cell_angle_beta 90.00
_cell_angle_gamma 90.00
loop_
_atom_site_label
_atom_site_type_symbol
_atom_site_fract_x
_atom_site_fract_y
_atom_site_fract_z
La1 La 0.0000 0.0000 0.0000
Co1 Co 0.2500 0.2500 0.2500
Mo1 Mo 0.1250 0.1250 0.6250
# Final energy, eV per atom: -8.60
# DOS at the Fermi energy, states/eV per cell: 32.518
# ΔH_f (0 K), eV/atom: 0.626

Record 11
# La2CoMo, optimized geometry, DFT GGA-PBE
data_La2CoMo
_space_group_name_H-M_alt 'F m -3 m'
_space_group_IT_number 225
_space_group_name_Hall '-F 4 2 3'
_cell_length_a 7.1505
_cell_length_b 7.1505
_cell_length_c 7.1505
_cell_angle_alpha 90.00
_cell_angle_beta 90.00
_cell_angle_gamma 90.00
loop_
_atom_site_label
_atom_site_type_symbol
_atom_site_fract_x
_atom_site_fract_y
_atom_site_fract_z
La1 La 0.2500 0.2500 0.2500
Co1 Co 0.0000 0.0000 0.0000
Mo1 Mo 0.0000 0.0000 0.5000
# Final energy, eV per atom: -6.47
# Relative energy among the computed polymorphs, meV per atom: 312
# DOS at the Fermi energy, states/eV per cell: 24.090
# ΔH_f (0 K), eV/atom: 0.479

Record 12
# LaCo2Mo, optimized geometry, DFT GGA-PBE
data_LaCo2Mo
_space_group_name_H-M_alt 'C m m m'
_space_group_IT_number 65
_space_group_name_Hall '-C 2 2'
_cell_length_a 6.2491
_cell_length_b 7.0251
_cell_length_c 3.0083
_cell_angle_alpha 90.00
_cell_angle_beta 90.00
_cell_angle_gamma 90.00
loop_
_atom_site_label
_atom_site_type_symbol
_atom_site_fract_x
_atom_site_fract_y
_atom_site_fract_z
La1 La 0.0000 0.0000 0.0000
Co1 Co 0.2500 0.2500 0.5000
Mo1 Mo 0.0000 0.5000 0.0000
# Final energy, eV per atom: -7.05
# Relative energy among the computed polymorphs, meV per atom: 370
# DOS at the Fermi energy, states/eV per cell: 10.497
# ΔH_f (0 K), eV/atom: 0.440